1.
## Na3Tb3IrO8 (PBE-GGA)

Data for a relaxed Na3Tb3IrO8 crystal.

## Properties
space-group type = No. 166
energy relative to the elements, uncorrected = -35.03 eV/f.u.
uncorrected energy = -6.76 eV per atom

Cell and atoms, written as extended XYZ:
```
15
Lattice="3.364 1.942 5.564 -3.364 1.942 5.564 0.000 -3.885 5.564" Properties=species:S:1:pos:R:3 pbc="T T T"
Na -1.682 -0.971 5.564
Na -1.682 0.971 11.129
Na 0.000 1.942 5.564
Tb -3.364 0.000 8.347
Tb -1.682 0.971 2.782
Tb 1.682 0.971 2.782
Ir 0.000 0.000 8.347
O 0.000 0.000 3.956
O -1.536 -0.887 9.467
O 0.000 -1.774 7.227
O -1.536 0.887 7.227
O 1.536 -0.887 9.467
O 0.000 1.774 9.467
O 1.536 0.887 7.227
O 0.000 0.000 12.737
```

---

2.
## NaTb2IrO5 (PBE-GGA)

Data for a relaxed NaTb2IrO5 crystal.

## Properties
space-group type = No. 71
energy relative to the elements, uncorrected = -20.34 eV/f.u.
uncorrected energy = -7.17 eV per atom

Cell and atoms, written as extended XYZ:
```
9
Lattice="-1.997 2.880 5.498 1.997 -2.880 5.498 1.997 2.880 -5.498" Properties=species:S:1:pos:R:3 pbc="T T T"
Na 0.000 0.000 0.000
Tb 1.997 0.000 3.193
Tb 0.000 2.880 2.305
Ir 0.000 0.000 5.498
O 1.997 1.566 -1.628
O 1.997 1.566 1.628
O 0.000 2.880 0.000
O 0.000 1.315 3.870
O 0.000 1.315 7.126
```

---

3.
## NaTbIrO4 (PBE-GGA)

Data for a relaxed NaTbIrO4 crystal.

## Properties
space-group type = No. 38
energy relative to the elements, uncorrected = -13.44 eV/f.u.
uncorrected energy = -6.87 eV per atom
ΔE to the lowest computed polymorph = 0 meV per atom

Cell and atoms, written as extended XYZ:
```
21
Lattice="3.261 0.000 0.000 0.000 8.064 4.815 0.000 -8.064 4.815" Properties=species:S:1:pos:R:3 pbc="T T T"
Na 0.000 0.000 0.000
Na 1.631 -5.627 6.071
Na 1.631 5.627 6.071
Tb 1.631 -2.783 4.481
Tb 1.631 2.783 4.481
Tb 1.631 0.000 6.559
Ir 0.000 0.000 3.001
Ir 0.000 -2.597 7.837
Ir 0.000 2.597 7.837
O 0.000 -2.018 3.062
O 0.000 -4.400 4.730
O 0.000 2.018 3.062
O 0.000 -1.570 6.007
O 0.000 1.570 6.007
O 0.000 4.400 4.730
O 1.631 0.000 1.753
O 1.631 0.000 4.237
O 1.631 -3.646 7.240
O 1.631 -1.449 8.437
O 1.631 1.449 8.437
O 1.631 3.646 7.240
```

---

4.
## Na2TbIrO4 (PBE-GGA)

Data for a relaxed Na2TbIrO4 crystal.

## Properties
space-group type = No. 10
energy relative to the elements, uncorrected = -14.72 eV/f.u.
uncorrected energy = -6.34 eV per atom

Cell and atoms, written as extended XYZ:
```
8
Lattice="5.325 0.000 0.000 0.000 3.353 0.000 -1.955 0.000 5.627" Properties=species:S:1:pos:R:3 pbc="T T T"
Na 0.000 0.000 0.000
Na 2.663 1.677 0.000
Tb -0.978 1.677 2.813
Ir 1.685 0.000 2.813
O -0.075 0.000 4.079
O 1.007 1.677 1.651
O 2.363 1.677 3.976
O 3.445 0.000 1.548
```

---

5.
## NaTbIrO4 (PBE-GGA)

Data for a relaxed NaTbIrO4 crystal.

## Properties
space-group type = No. 74
energy relative to the elements, uncorrected = -13.14 eV/f.u.
uncorrected energy = -6.83 eV per atom
ΔE to the lowest computed polymorph = 43 meV per atom

Cell and atoms, written as extended XYZ:
```
14
Lattice="-3.265 3.472 4.445 3.265 -3.472 4.445 3.265 3.472 -4.445" Properties=species:S:1:pos:R:3 pbc="T T T"
Na 0.000 1.736 1.042
Na 3.265 1.736 3.403
Tb 3.265 0.000 0.000
Tb 0.000 0.000 4.445
Ir 1.632 1.736 -2.222
Ir 1.632 -1.736 2.222
O 3.265 3.009 -2.273
O 3.265 -0.463 2.273
O 1.820 1.736 -0.174
O 4.709 1.736 -0.174
O -1.444 1.736 4.619
O 1.444 1.736 4.619
O 0.000 3.935 2.172
O 0.000 0.463 6.718
```

---

6.
## NaTc2IrO8 (PBE-GGA)

Data for a relaxed NaTc2IrO8 crystal.

## Properties
space-group type = No. 155
energy relative to the elements, uncorrected = -13.12 eV/f.u.
uncorrected energy = -6.98 eV per atom

Cell and atoms, written as extended XYZ:
```
12
Lattice="2.799 1.616 8.354 -2.799 1.616 8.354 0.000 -3.232 8.354" Properties=species:S:1:pos:R:3 pbc="T T T"
Na 0.000 0.000 0.000
Tc 0.000 0.000 6.046
Tc 0.000 0.000 19.015
Ir 0.000 0.000 12.531
O -1.246 -0.937 11.264
O 0.000 0.000 7.797
O -0.188 -1.547 13.797
O -1.246 0.937 13.797
O -0.188 1.547 11.264
O 1.434 -0.611 11.264
O 0.000 0.000 17.264
O 1.434 0.611 13.797
```

---

7.
## NaTeIrO5 (PBE-GGA)

Data for a relaxed NaTeIrO5 crystal.

## Properties
space-group type = No. 15
energy relative to the elements, uncorrected = -7.42 eV/f.u.
uncorrected energy = -5.69 eV per atom

Cell and atoms, written as extended XYZ:
```
16
Lattice="3.302 -4.635 0.000 3.302 4.635 0.000 -1.879 0.000 7.002" Properties=species:S:1:pos:R:3 pbc="T T T"
Na 1.893 3.018 5.251
Na 2.833 -3.018 1.750
Te 2.833 2.999 1.750
Te 1.893 -2.999 5.251
Ir 3.302 0.000 0.000
Ir 2.363 0.000 3.501
O -0.383 0.819 6.880
O 1.704 1.761 2.716
O 0.557 -0.819 3.379
O 1.893 0.730 5.251
O 3.961 1.761 0.785
O 0.765 -1.761 6.217
O 2.833 -0.730 1.750
O 4.169 0.819 3.622
O 3.021 -1.761 4.286
O 5.109 -0.819 0.122
```

---

8.
## NaThIrO6 (PBE-GGA)

Data for a relaxed NaThIrO6 crystal.

## Properties
space-group type = No. 102
energy relative to the elements, uncorrected = -15.52 eV/f.u.
uncorrected energy = -6.99 eV per atom

Cell and atoms, written as extended XYZ:
```
18
Lattice="5.087 0.000 0.000 0.000 5.087 0.000 0.000 0.000 10.116" Properties=species:S:1:pos:R:3 pbc="T T T"
Na 0.000 0.000 0.000
Na 2.543 2.543 5.058
Th 0.000 0.000 3.418
Th 2.543 2.543 8.476
Ir 0.000 0.000 6.782
Ir 2.543 2.543 1.724
O 0.914 0.914 5.360
O 0.963 0.963 8.163
O 1.199 1.199 1.803
O 1.344 3.743 6.861
O 1.580 3.506 3.105
O 1.630 3.457 0.302
O 3.457 1.630 0.302
O 3.506 1.580 3.105
O 3.743 1.344 6.861
O 3.887 3.887 1.803
O 4.124 4.124 8.163
O 4.173 4.173 5.360
```

---

9.
## Na2ThIrO6 (PBE-GGA)

Data for a relaxed Na2ThIrO6 crystal.

## Properties
space-group type = No. 14
energy relative to the elements, uncorrected = -18.71 eV/f.u.
uncorrected energy = -6.74 eV per atom

Cell and atoms, written as extended XYZ:
```
20
Lattice="5.731 0.000 0.000 0.000 5.865 0.000 -5.665 0.000 8.199" Properties=species:S:1:pos:R:3 pbc="T T T"
Na -0.038 0.212 2.061
Na -2.871 2.720 6.161
Na 2.937 3.145 2.038
Na 0.104 5.652 6.137
Th 2.865 0.000 0.000
Th 0.033 2.932 4.099
Ir -2.832 0.000 4.099
Ir 0.000 2.932 0.000
O -4.640 1.325 7.774
O -1.807 1.607 3.674
O -4.092 4.020 7.827
O -1.259 4.777 3.728
O -2.290 0.184 5.968
O 0.542 2.748 1.869
O -0.476 3.116 6.330
O 2.356 5.681 2.231
O 1.325 1.088 4.471
O 4.157 1.844 0.372
O 1.873 4.258 4.524
O 4.706 4.539 0.425
```

---

10.
## Na2TiIrO6 (PBE-GGA)

Data for a relaxed Na2TiIrO6 crystal.

## Properties
space-group type = No. 123
energy relative to the elements, uncorrected = -16.64 eV/f.u.
uncorrected energy = -6.58 eV per atom

Cell and atoms, written as extended XYZ:
```
10
Lattice="5.487 0.000 0.000 0.000 5.487 0.000 0.000 0.000 3.854" Properties=species:S:1:pos:R:3 pbc="T T T"
Na 0.000 2.744 0.000
Na 2.744 0.000 0.000
Ti 0.000 0.000 1.927
Ir 2.744 2.744 1.927
O 0.000 0.000 0.000
O 1.382 1.382 1.927
O 1.382 4.105 1.927
O 2.744 2.744 0.000
O 4.105 1.382 1.927
O 4.105 4.105 1.927
```

---

11.
## NaTiIrO6 (PBE-GGA)

Data for a relaxed NaTiIrO6 crystal.

## Properties
space-group type = No. 163
energy relative to the elements, uncorrected = -13.51 eV/f.u.
uncorrected energy = -6.81 eV per atom

Cell and atoms, written as extended XYZ:
```
18
Lattice="5.182 0.000 0.000 -2.591 4.488 0.000 0.000 0.000 10.309" Properties=species:S:1:pos:R:3 pbc="T T T"
Na 0.000 0.000 0.000
Na 0.000 0.000 5.154
Ti 0.000 2.992 2.577
Ti 2.591 1.496 7.731
Ir 0.000 2.992 7.731
Ir 2.591 1.496 2.577
O -0.932 1.682 6.682
O -1.600 2.839 8.781
O 0.932 1.682 8.781
O -0.668 4.454 6.682
O 1.923 0.034 1.528
O 0.991 1.648 3.627
O 1.600 2.839 6.682
O 0.668 4.454 8.781
O 3.259 0.034 3.627
O 1.659 2.806 1.528
O 4.191 1.648 1.528
O 3.523 2.806 3.627
```

---

12.
## Na2TiIr3O12 (PBE-GGA)

Data for a relaxed Na2TiIr3O12 crystal.

## Properties
space-group type = No. 166
energy relative to the elements, uncorrected = -20.20 eV/f.u.
uncorrected energy = -6.49 eV per atom

Cell and atoms, written as extended XYZ:
```
18
Lattice="3.580 2.067 5.963 -3.580 2.067 5.963 0.000 -4.133 5.963" Properties=species:S:1:pos:R:3 pbc="T T T"
Na 0.000 0.000 1.584
Na 0.000 0.000 16.305
Ti 0.000 0.000 8.944
Ir -1.790 -1.033 5.963
Ir -1.790 1.033 11.926
Ir 0.000 2.067 5.963
O 0.000 -1.699 5.545
O -1.472 0.850 5.545
O -1.347 -0.778 7.784
O -1.472 -0.850 12.344
O 0.000 -1.556 10.105
O -1.347 0.778 10.105
O 1.347 -0.778 7.784
O 0.000 1.556 7.784
O 1.472 0.850 5.545
O 1.347 0.778 10.105
O 1.472 -0.850 12.344
O 0.000 1.699 12.344
```

---

13.
## NaTiIrO2 (PBE-GGA)

Data for a relaxed NaTiIrO2 crystal.

## Properties
space-group type = No. 123
energy relative to the elements, uncorrected = -3.64 eV/f.u.
uncorrected energy = -6.33 eV per atom

Cell and atoms, written as extended XYZ:
```
5
Lattice="3.921 0.000 0.000 0.000 3.921 0.000 0.000 0.000 4.996" Properties=species:S:1:pos:R:3 pbc="T T T"
Na 0.000 0.000 0.000
Ti 1.961 1.961 2.498
Ir 1.961 1.961 0.000
O 0.000 1.961 2.498
O 1.961 0.000 2.498
```

---

14.
## NaTlIrO6 (PBE-GGA)

Data for a relaxed NaTlIrO6 crystal.

## Properties
space-group type = No. 163
energy relative to the elements, uncorrected = -5.46 eV/f.u.
uncorrected energy = -5.31 eV per atom

Cell and atoms, written as extended XYZ:
```
18
Lattice="5.661 0.000 0.000 -2.830 4.902 0.000 0.000 0.000 9.460" Properties=species:S:1:pos:R:3 pbc="T T T"
Na 0.000 0.000 0.000
Na 0.000 0.000 4.730
Tl 0.000 3.268 2.365
Tl 2.830 1.634 7.095
Ir 0.000 3.268 7.095
Ir 2.830 1.634 2.365
O -0.837 1.957 6.011
O -1.554 3.199 8.178
O 0.837 1.957 8.178
O -0.717 4.648 6.011
O 2.113 0.254 1.281
O 1.276 1.703 3.448
O 1.554 3.199 6.011
O 0.717 4.648 8.178
O 3.548 0.254 3.448
O 1.994 2.945 1.281
O 4.384 1.703 1.281
O 3.667 2.945 3.448
```

---

15.
## Na2TlIrO4 (PBE-GGA)

Data for a relaxed Na2TlIrO4 crystal.

## Properties
space-group type = No. 82
energy relative to the elements, uncorrected = -7.84 eV/f.u.
uncorrected energy = -5.19 eV per atom

Cell and atoms, written as extended XYZ:
```
8
Lattice="-3.004 3.004 3.447 3.004 -3.004 3.447 3.004 3.004 -3.447" Properties=species:S:1:pos:R:3 pbc="T T T"
Na 0.000 0.000 0.000
Na 0.000 3.004 1.724
Tl 0.000 0.000 3.447
Ir 3.004 0.000 1.724
O 1.825 -1.477 1.807
O 4.481 -1.180 1.640
O 1.527 1.180 1.640
O 4.184 1.477 1.807
```

---

16.
## Na2Tl2IrO6 (PBE-GGA)

Data for a relaxed Na2Tl2IrO6 crystal.

## Properties
space-group type = No. 12
energy relative to the elements, uncorrected = -11.05 eV/f.u.
uncorrected energy = -5.18 eV per atom

Cell and atoms, written as extended XYZ:
```
11
Lattice="2.990 -5.013 0.000 2.990 5.013 0.000 -1.774 0.000 5.523" Properties=species:S:1:pos:R:3 pbc="T T T"
Na 2.990 3.446 0.000
Na 2.990 -3.446 0.000
Tl 2.103 1.633 2.762
Tl 2.103 -1.633 2.762
Ir -0.887 0.000 2.762
O -0.057 1.453 3.860
O 0.772 0.000 1.658
O -0.057 -1.453 3.860
O 4.263 1.453 1.664
O 3.434 0.000 3.865
O 4.263 -1.453 1.664
```

---

17.
## NaTl2IrO8 (PBE-GGA)

Data for a relaxed NaTl2IrO8 crystal.

## Properties
space-group type = No. 2
energy relative to the elements, uncorrected = -6.53 eV/f.u.
uncorrected energy = -5.09 eV per atom

Cell and atoms, written as extended XYZ:
```
12
Lattice="4.457 0.000 0.000 0.154 5.263 0.000 0.007 0.001 6.929" Properties=species:S:1:pos:R:3 pbc="T T T"
Na 0.000 0.000 0.000
Tl 2.306 2.632 1.817
Tl 2.312 2.632 5.112
Ir 0.004 0.000 3.464
O 0.681 2.240 0.000
O 0.982 1.664 3.466
O 1.265 4.606 4.879
O 1.265 4.608 2.048
O 3.353 0.655 4.881
O 3.353 0.658 2.050
O 3.636 3.600 3.463
O 3.937 3.024 6.929
```

---

18.
## Na3Tl3IrO8 (PBE-GGA)

Data for a relaxed Na3Tl3IrO8 crystal.

## Properties
space-group type = No. 166
energy relative to the elements, uncorrected = -15.63 eV/f.u.
uncorrected energy = -5.01 eV per atom

Cell and atoms, written as extended XYZ:
```
15
Lattice="3.406 1.966 5.528 -3.406 1.966 5.528 0.000 -3.933 5.528" Properties=species:S:1:pos:R:3 pbc="T T T"
Na -1.703 -0.983 5.528
Na -1.703 0.983 11.056
Na 0.000 1.966 5.528
Tl -3.406 0.000 8.292
Tl -1.703 0.983 2.764
Tl 1.703 0.983 2.764
Ir 0.000 0.000 8.292
O 0.000 0.000 4.037
O -1.448 -0.836 9.390
O 0.000 -1.672 7.194
O -1.448 0.836 7.194
O 1.448 -0.836 9.390
O 0.000 1.672 9.390
O 1.448 0.836 7.194
O 0.000 0.000 12.548
```

---

19.
## Na2TlIrO (PBE-GGA)

Data for a relaxed Na2TlIrO crystal.

## Properties
space-group type = No. 123
energy relative to the elements, uncorrected = 4.33 eV/f.u.
uncorrected energy = -2.90 eV per atom

Cell and atoms, written as extended XYZ:
```
5
Lattice="5.824 0.000 0.000 0.000 5.824 0.000 0.000 0.000 4.127" Properties=species:S:1:pos:R:3 pbc="T T T"
Na 0.000 2.912 0.000
Na 2.912 0.000 0.000
Tl 0.000 0.000 0.000
Ir 2.912 2.912 2.063
O 0.000 0.000 2.063
```

---

20.
## NaTlIrO2 (PBE-GGA)

Data for a relaxed NaTlIrO2 crystal.

## Properties
space-group type = No. 123
energy relative to the elements, uncorrected = 5.28 eV/f.u.
uncorrected energy = -3.44 eV per atom

Cell and atoms, written as extended XYZ:
```
5
Lattice="4.237 0.000 0.000 0.000 4.237 0.000 0.000 0.000 5.969" Properties=species:S:1:pos:R:3 pbc="T T T"
Na 0.000 0.000 0.000
Tl 0.000 0.000 2.985
Ir 2.119 2.119 0.000
O 0.000 2.119 2.985
O 2.119 0.000 2.985
```